# KNaTl2Ni

A relaxed KNaTl2Ni crystal (PBE, Alexandria via LeMat-Bulk).

Calculated formation energy: 0.02 eV/atom
E: -2.571 eV per atom
Space-group type: P4/mmm, No. 123
Mass density: 5.9 Mg/m³
Crystal system: tetragonal

```
data_KNaTl2Ni
_cell_length_a 5.1219
_cell_length_b 5.1219
_cell_length_c 5.6377
_cell_angle_alpha 90.00
_cell_angle_beta 90.00
_cell_angle_gamma 90.00
_space_group_name_H-M_alt 'P 1'
_space_group_IT_number 1
loop_
_space_group_symop_operation_xyz
'x,y,z'
loop_
_atom_site_label
_atom_site_type_symbol
_atom_site_fract_x
_atom_site_fract_y
_atom_site_fract_z
Ni1 Ni 0.0000 0.0000 0.0000
Tl1 Tl 0.0000 0.5000 0.0000
Tl2 Tl 0.5000 0.0000 0.0000
K1 K 0.5000 0.5000 0.5000
Na1 Na 0.0000 0.0000 0.5000
```